Record 1
First-principles (PBE-GGA) data for a relaxed structure of La8CoCuRh2, as listed in the Alexandria database.

## Properties
DFT total energy: -5.7263 eV per atom

abc: 6.607 6.852 8.572
angles: 90.00 90.00 88.09
Fractional positions:
La  0.864  0.240  0.231
La  0.864  0.240  0.769
La  0.136  0.760  0.769
La  0.637  0.733  0.500
Cu  0.000  0.000  0.500
La  0.349  0.263  0.000
Rh  0.500  0.500  0.250
La  0.651  0.737  0.000
Rh  0.500  0.500  0.750
La  0.136  0.760  0.231
La  0.363  0.267  0.500
Co  0.000  0.000  0.000

Record 2
First-principles (PBE-GGA) data for a relaxed structure of LaScCoCu, as listed in the Alexandria database.

## Properties
DFT total energy: -5.7002 eV per atom

abc: 4.810 4.810 4.810
angles: 60.00 60.00 60.00
Site moments in Bohr magnetons follow the coordinates.
Fractional positions:
La  0.000  0.000  0.000  -0.02
Co  0.250  0.250  0.250  0.50
Cu  0.750  0.750  0.750  0.00
Sc  0.500  0.500  0.500  -0.08

Record 3
First-principles (PBE-GGA) data for a relaxed structure of LaSmCoCu, as listed in the Alexandria database.

## Properties
E above lowest polymorph: 0.0648 eV per atom

abc: 4.985 4.985 4.985
angles: 60.00 60.00 60.00
Fractional positions:
Sm  0.000  0.000  0.000
Co  0.750  0.750  0.750
Cu  0.250  0.250  0.250
La  0.500  0.500  0.500

Record 4
First-principles (PBE-GGA) data for a relaxed structure of LaSmCoCu, as listed in the Alexandria database.

## Properties
E above lowest polymorph: 0.0000 eV per atom

abc: 3.905 4.291 5.745
angles: 90.00 109.87 90.00
Fractional positions:
La  0.863  0.500  0.726
Co  0.431  0.000  0.861
Sm  0.137  0.000  0.274
Cu  0.569  0.500  0.139

Record 5
First-principles (PBE-GGA) data for a relaxed structure of LaTlCoCu2, as listed in the Alexandria database.

## Properties
DFT total energy: -3.4253 eV per atom

abc: 5.401 4.674 5.401
angles: 90.00 90.00 90.00
Site moments in Bohr magnetons follow the coordinates.
Fractional positions:
Cu  0.000  0.000  0.500  0.03
Co  0.000  0.500  0.000  0.77
La  0.000  0.000  0.000  -0.03
Cu  0.500  0.000  0.000  0.01
Tl  0.500  0.500  0.500  0.00

Record 6
First-principles (PBE-GGA) data for a relaxed structure of La2VCoCu, as listed in the Alexandria database.

## Properties
DFT total energy: -5.3852 eV per atom

abc: 5.161 4.574 5.161
angles: 90.00 90.00 90.00
Site moments in Bohr magnetons follow the coordinates.
Fractional positions:
La  0.000  0.000  0.500  0.00
Co  0.000  0.000  0.000  -0.01
La  0.500  0.000  0.000  0.01
V  0.500  0.500  0.500  -0.30
Cu  0.000  0.500  0.000  -0.02

Per-record density of states at the Fermi level, states/eV/cell: 13.11 4.53 4.54 3.65 4.35 8.78